VASP calculation (PBE) on an optimized crystal structure of BaCe2PdS5.

abc: 7.7438 7.7438 13.8266
angles: 90.00 90.00 90.00
Space group I4/mcm (No. 140)
Unique sites:
Ba (0.0000, 0.0000, 0.2500) x4
Ce (0.1612, 0.3388, 0.0000) x8
Pd (0.0000, 0.5000, 0.2500) x4
S (0.0000, 0.0000, 0.0000) x4
S (0.1513, 0.3487, 0.3745) x16

Output
The uncorrected formation energy comes out at -1.677 eV per atom.


VASP calculation (PBE) on an optimized crystal structure of BaCe2PdS4.

abc: 4.1255 13.6865 14.0102
angles: 90.00 90.00 90.00
Space group Cmcm (No. 63)
Unique sites:
Ba (0.0000, 0.1129, 0.2500) x4
Ce (0.0000, 0.3681, 0.0655) x8
Pd (0.0000, 0.1578, 0.7500) x4
S (0.0000, 0.0000, 0.0000) x4
S (0.0000, 0.2690, 0.6112) x8
S (0.0000, 0.4441, 0.2500) x4

Output
The uncorrected formation energy comes out at -1.801 eV per atom.


VASP calculation (PBE) on an optimized crystal structure of BaCe2Sb2Pd2.

abc: 4.7930 4.7930 28.8924
angles: 90.00 90.00 120.00
Space group R-3m (No. 166, hexagonal axes)
Unique sites:
Ba (0.0000, 0.0000, 0.0000) x3
Ce (0.0000, 0.0000, 0.1439) x6
Sb (0.0000, 0.0000, 0.2557) x6
Pd (0.0000, 0.0000, 0.4463) x6

Output
The uncorrected formation energy comes out at -0.884 eV per atom.


VASP calculation (PBE) on an optimized crystal structure of Ba2CeSb3Pd4.

abc: 4.7355 4.7355 11.5036
angles: 90.00 90.00 90.00
Space group P-4m2 (No. 115)
Unique sites:
Ba (0.0000, 0.5000, 0.2266) x2
Ce (0.0000, 0.0000, 0.5000) x1
Sb (0.0000, 0.5000, 0.8798) x2
Sb (0.5000, 0.5000, 0.5000) x1
Pd (0.0000, 0.0000, 0.0000) x1
Pd (0.0000, 0.5000, 0.6435) x2
Pd (0.5000, 0.5000, 0.0000) x1

Output
The uncorrected formation energy comes out at -0.815 eV per atom.


VASP calculation (PBE) on an optimized crystal structure of BaCePdSe4.

abc: 6.6191 15.3167 7.5588
angles: 90.00 90.00 90.00
Space group Cmcm (No. 63)
Unique sites:
Ba (0.0000, 0.1032, 0.2500) x4
Ce (0.0000, 0.3714, 0.2500) x4
Pd (0.0000, 0.2627, 0.7500) x4
Se (0.0000, 0.0981, 0.7500) x4
Se (0.0000, 0.4409, 0.7500) x4
Se (0.2500, 0.2500, 0.0000) x8

Output
The uncorrected formation energy comes out at -1.201 eV per atom.


VASP calculation (PBE) on an optimized crystal structure of Ba2CeSnPd6.

abc: 10.3419 10.3419 10.3419
angles: 90.00 90.00 90.00
Space group Fm-3m (No. 225)
Unique sites:
Ba (0.2500, 0.2500, 0.2500) x8
Ce (0.0000, 0.0000, 0.0000) x4
Sn (0.0000, 0.0000, 0.5000) x4
Pd (0.0000, 0.0000, 0.2474) x24

Output
For the calculated formation energy, the calculation gives -0.2300 eV per atom.


VASP calculation (PBE) on an optimized crystal structure of BaCePm2.

abc: 3.6913 3.6913 10.9219
angles: 90.00 90.00 90.00
Space group P4/mmm (No. 123)
Unique sites:
Ba (0.0000, 0.0000, 0.0000) x1
Ce (0.0000, 0.0000, 0.5000) x1
Pm (0.5000, 0.5000, 0.2902) x2

Output
For the energy above the most stable polymorph in this dataset, the calculation gives 0.0 meV per atom. For the calculated formation energy, the calculation gives 0.1477 eV per atom.


VASP calculation (PBE) on an optimized crystal structure of BaCePm2.

abc: 4.2538 4.2538 30.7595
angles: 90.00 90.00 120.00
Space group R-3m (No. 166, hexagonal axes)
Unique sites:
Ba (0.0000, 0.0000, 0.0000) x3
Ce (0.0000, 0.0000, 0.5000) x3
Pm (0.0000, 0.0000, 0.1171) x6

Output
For the energy above the most stable polymorph in this dataset, the calculation gives 571.6 meV per atom. For the calculated formation energy, the calculation gives 0.7193 eV per atom.